Compound: Mn2IF
Source: Alexandria via LeMat-Bulk
Functional: PBE with a Hubbard U
Structure: optimized geometry

Values from the calculation:
Fermi-level density of states (states/eV/f.u.): 0.9
Calculated total energy (eV per atom): -5.1015
Volume (Å³/cell): 419.99

a = 5.508 Å, b = 5.508 Å, c = 13.843 Å
α = 90.00°, β = 90.00°, γ = 90.00°
Space group I-42d (No. 122)
Symmetry-distinct sites (fractional):
Mn1 0.103 0.250 0.125 x8
I1 0.000 0.000 0.500 x4
F1 0.000 0.000 0.000 x4